A geometry-optimized Ge2BiMo structure, computed with PBE-GGA.

Output
total energy = -0.3984 Ry/atom
theoretical density = 7.83 g/cm³
symmetry = No. 122
calculated formation energy = 0.567 eV per atom

a b c (Å): 4.685 4.685 9.310
angles (deg): 75.43 75.43 90.00
Site moments in Bohr magnetons follow the coordinates.
Atoms (fractional coordinates):
Mo (0.500, 0.500, 0.000)  1.27
Mo (0.250, 0.750, 0.500)  1.28
Ge (0.375, 0.490, 0.750)  -0.02
Ge (0.240, 0.625, 0.250)  -0.03
Ge (0.510, 0.125, 0.250)  -0.02
Ge (0.875, 0.760, 0.750)  -0.03
Bi (0.750, 0.250, 0.500)  -0.02
Bi (0.000, 0.000, 0.000)  -0.02